# 1
Density functional theory data (PBE) for a geometry-optimized LaEr4In4 structure.

Values from the calculation:
Formation energy (meV/atom): -208
Fermi-level density of states (states/eV/cell): 13.85
Magnetization (μB/atom): 0.00
Calculated total energy (eV for the cell shown): -72.01
Volume (Å³ per atom): 30.9
Space-group type: P4_2/nmc (137)

Cell: 7.2901 7.2901 10.4627 Å, 90.00 90.00 90.00°
With the nearest neighbours (Å) after each atom.
Fractional positions:
La (0.2500, 0.7500, 0.2500)  4 In 3.77, 8 Er 4.15
La (0.7500, 0.2500, 0.7500)  4 In 3.77, 8 Er 4.15
Er (0.0136, 0.2500, 0.1560)  5 In 3.09-3.12, 3 Er 3.35-3.45
Er (0.2500, 0.0136, 0.6560)  5 In 3.09-3.12, 3 Er 3.35-3.45
Er (0.2500, 0.4864, 0.6560)  5 In 3.09-3.12, 3 Er 3.35-3.45
Er (0.4864, 0.2500, 0.1560)  5 In 3.09-3.12, 3 Er 3.35-3.45
Er (0.5136, 0.7500, 0.8440)  5 In 3.09-3.12, 3 Er 3.35-3.45
Er (0.7500, 0.5136, 0.3440)  5 In 3.09-3.12, 3 Er 3.35-3.45
Er (0.7500, 0.9864, 0.3440)  5 In 3.09-3.12, 3 Er 3.35-3.45
Er (0.9864, 0.7500, 0.8440)  5 In 3.09-3.12, 3 Er 3.35-3.45
In (0.0433, 0.2500, 0.4529)  1 In 3.01, 5 Er 3.09-3.12
In (0.2500, 0.0433, 0.9529)  1 In 3.01, 5 Er 3.09-3.12
In (0.2500, 0.4567, 0.9529)  1 In 3.01, 5 Er 3.09-3.12
In (0.4567, 0.2500, 0.4529)  1 In 3.01, 5 Er 3.09-3.12
In (0.5433, 0.7500, 0.5471)  1 In 3.01, 5 Er 3.09-3.12
In (0.7500, 0.5433, 0.0471)  1 In 3.01, 5 Er 3.09-3.12
In (0.7500, 0.9567, 0.0471)  1 In 3.01, 5 Er 3.09-3.12
In (0.9567, 0.7500, 0.5471)  1 In 3.01, 5 Er 3.09-3.12

# 2
Density functional theory data (PBE) for a geometry-optimized LaEr6In2 structure.

Values from the calculation:
Formation energy (meV/atom): -193
Fermi-level density of states (states/eV/cell): 11.92
Magnetization (μB/atom): 0.00
Calculated total energy (eV for the cell shown): -39.52
Volume (Å³ per atom): 30.0
Space-group type: C2/m (12)

Cell: 6.5905 6.5905 11.9649 Å, 106.73 106.73 32.97°
With the nearest neighbours (Å) after each atom.
Fractional positions:
La (0.0000, 0.0000, 0.0000)  4 In 3.34, 4 Er 3.69
Er (0.0119, 0.0119, 0.3468)  2 In 3.18, 4 Er 3.47-3.54
Er (0.3113, 0.3113, 0.4205)  2 In 3.23, 7 Er 3.36-3.54
Er (0.3117, 0.3117, 0.1269)  2 In 3.25, 5 Er 3.51-3.58
Er (0.6883, 0.6883, 0.8731)  2 In 3.25, 5 Er 3.51-3.58
Er (0.6887, 0.6887, 0.5795)  2 In 3.23, 7 Er 3.36-3.54
Er (0.9881, 0.9881, 0.6532)  2 In 3.18, 4 Er 3.47-3.54
In (0.3526, 0.3526, 0.7765)  6 Er 3.18-3.25, 2 La 3.34
In (0.6474, 0.6474, 0.2235)  6 Er 3.18-3.25, 2 La 3.34

# 3
Density functional theory data (PBE) for a geometry-optimized LaEr5In6 structure.

Values from the calculation:
Formation energy (meV/atom): -448
Fermi-level density of states (states/eV/cell): 6.70
Magnetization (μB/atom): 0.00
Calculated total energy (eV for the cell shown): -49.55
Volume (Å³ per atom): 26.8
Space-group type: C2/m (12)

Cell: 9.2402 9.2402 5.3549 Å, 106.28 106.28 47.58°
With the nearest neighbours (Å) after each atom.
Fractional positions:
La (0.0000, 0.0000, 0.0000)  8 In 3.34-3.37, 4 Er 3.71-3.73
Er (0.1614, 0.1614, 0.6614)  8 In 3.24-3.30
Er (0.3317, 0.3317, 0.3314)  8 In 3.22-3.23
Er (0.5000, 0.5000, 0.0000)  8 In 3.19-3.29
Er (0.6683, 0.6683, 0.6686)  8 In 3.22-3.23
Er (0.8386, 0.8386, 0.3386)  8 In 3.24-3.30
In (0.0872, 0.5699, 0.8287)  7 Er 3.22-3.30, 1 La 3.37, 1 In 3.60
In (0.2671, 0.7329, 0.5000)  6 Er 3.19-3.27, 2 La 3.34, 1 In 3.47
In (0.4301, 0.9128, 0.1713)  7 Er 3.22-3.30, 1 La 3.37, 1 In 3.60
In (0.5699, 0.0872, 0.8287)  7 Er 3.22-3.30, 1 La 3.37, 1 In 3.60
In (0.7329, 0.2671, 0.5000)  6 Er 3.19-3.27, 2 La 3.34, 1 In 3.47
In (0.9128, 0.4301, 0.1713)  7 Er 3.22-3.30, 1 La 3.37, 1 In 3.60